The following is a PBE calculation of a relaxed structure of AlSeBr2, from Alexandria.

Results
offset from the most stable computed form	706	meV/atom
raw formation energy	2.04	kcal/mol of atoms
D(E_F)	0.571	states/eV per atom
symmetry	No. 123
crystal system	tetragonal
total DFT energy (no corrections)	-2.55	eV/atom

Cell and atoms, written as POSCAR:
```
AlSeBr2
1.0
3.247 0.000 0.000
0.000 3.247 0.000
0.000 0.000 9.626
Br Al Se
2 1 1
direct
0.000 0.000 0.920 Br
0.000 0.000 0.580 Br
0.500 0.500 0.750 Al
0.500 0.500 0.250 Se
```

=====

The following is a PBE calculation of a relaxed structure of Al2SeBr, from Alexandria.

Results
offset from the most stable computed form	478	meV/atom
raw formation energy	-1.21	kcal/mol of atoms
D(E_F)	0.497	states/eV per atom
symmetry	No. 71
crystal system	orthorhombic
total DFT energy (no corrections)	-3.21	eV/atom

Cell and atoms, written as POSCAR:
```
Al2SeBr
1.0
5.526 0.021 0.022
0.394 5.512 -0.022
-1.624 -4.196 3.208
Al Br Se
2 1 1
direct
0.020 0.020 0.000 Al
0.480 0.480 0.000 Al
0.750 0.250 0.500 Br
0.250 0.750 0.500 Se
```

=====

The following is a PBE calculation of a relaxed structure of Al2SeBr, from Alexandria.

Results
offset from the most stable computed form	553	meV/atom
raw formation energy	0.53	kcal/mol of atoms
D(E_F)	0.409	states/eV per atom
symmetry	No. 123
crystal system	tetragonal
total DFT energy (no corrections)	-3.14	eV/atom

Cell and atoms, written as POSCAR:
```
Al2SeBr
1.0
-0.811 -2.415 -4.258
4.385 -2.277 0.457
-1.543 -2.615 1.777
Al Se Br
2 1 1
direct
0.500 0.500 0.000 Al
0.000 0.000 0.000 Al
0.000 0.500 0.500 Se
0.500 0.000 0.500 Br
```

=====

The following is a PBE calculation of a relaxed structure of AlSeBr2, from Alexandria.

Results
offset from the most stable computed form	715	meV/atom
raw formation energy	2.25	kcal/mol of atoms
D(E_F)	0.492	states/eV per atom
symmetry	No. 119
crystal system	tetragonal
total DFT energy (no corrections)	-2.55	eV/atom

Cell and atoms, written as POSCAR:
```
AlSeBr2
1.0
7.270 -0.028 0.000
5.089 5.192 0.000
-6.180 -2.582 2.828
Br Al Se
2 1 1
direct
0.000 0.000 0.000 Br
0.250 0.750 0.500 Br
0.750 0.250 0.500 Al
0.500 0.500 0.000 Se
```

=====

The following is a PBE calculation of a relaxed structure of AlSeBr7, from Alexandria.

Results
raw formation energy	-13.56	kcal/mol of atoms
D(E_F)	0.000	states/eV per atom
symmetry	No. 7
crystal system	monoclinic
total DFT energy (no corrections)	-2.69	eV/atom

Cell and atoms, written as POSCAR:
```
AlSeBr7
1.0
-4.373 0.727 5.300
-1.130 -7.515 0.099
9.731 -4.902 8.703
Br Se Al
14 2 2
direct
0.853 0.554 0.716 Br
0.400 0.037 0.121 Br
0.838 0.790 0.096 Br
0.147 0.324 0.492 Br
0.147 0.554 0.216 Br
0.574 0.764 0.439 Br
0.895 0.040 0.811 Br
0.321 0.353 0.841 Br
0.600 0.037 0.621 Br
0.105 0.040 0.311 Br
0.679 0.353 0.341 Br
0.426 0.764 0.939 Br
0.853 0.324 0.992 Br
0.162 0.790 0.596 Br
0.394 0.985 0.495 Se
0.606 0.985 0.995 Se
0.011 0.320 0.339 Al
0.989 0.320 0.839 Al
```

=====

The following is a PBE calculation of a relaxed structure of AlSeBr2, from Alexandria.

Results
offset from the most stable computed form	321	meV/atom
raw formation energy	-6.83	kcal/mol of atoms
D(E_F)	0.473	states/eV per atom
symmetry	No. 122
crystal system	tetragonal
total DFT energy (no corrections)	-2.94	eV/atom

Cell and atoms, written as POSCAR:
```
AlSeBr2
1.0
9.701 0.000 0.000
0.000 9.701 0.000
4.851 4.851 2.450
Br Se Al
4 2 2
direct
0.467 0.125 0.250 Br
0.375 0.533 0.750 Br
0.875 0.717 0.750 Br
0.283 0.625 0.250 Br
0.750 0.250 0.500 Se
0.000 0.000 0.000 Se
0.500 0.500 0.000 Al
0.250 0.750 0.500 Al
```

=====

The following is a PBE calculation of a relaxed structure of Al2SeBr, from Alexandria.

Results
offset from the most stable computed form	22	meV/atom
raw formation energy	-11.71	kcal/mol of atoms
D(E_F)	0.132	states/eV per atom
symmetry	No. 6
crystal system	monoclinic
total DFT energy (no corrections)	-3.67	eV/atom

Cell and atoms, written as POSCAR:
```
Al2SeBr
1.0
-3.234 -1.063 1.268
0.002 -3.732 -3.124
2.991 -5.548 2.978
Se Al Br
1 2 1
direct
0.500 0.778 0.883 Se
0.500 0.299 0.152 Al
0.000 0.935 0.074 Al
0.000 0.487 0.391 Br
```

=====

The following is a PBE calculation of a relaxed structure of AlSiSe2Br, from Alexandria.

Results
offset from the most stable computed form	33	meV/atom
raw formation energy	3.88	kcal/mol of atoms
D(E_F)	0.480	states/eV per atom
symmetry	No. 123
crystal system	tetragonal
total DFT energy (no corrections)	-3.39	eV/atom

Cell and atoms, written as POSCAR:
```
AlSiSe2Br
1.0
-0.227 4.957 0.260
-4.900 -0.265 0.776
0.771 -0.217 4.796
Si Se Al Br
1 2 1 1
direct
0.500 0.500 0.500 Si
0.000 0.500 0.000 Se
0.500 0.000 0.000 Se
0.000 0.000 0.000 Al
0.000 0.000 0.500 Br
```

=====

Question: Among the records above, which one has the lowest total DFT energy (no corrections)?
Answer: number 7